No. 1
The following is a DFT calculation (PBE) of an optimized crystal structure of Na3Ga6Pt5. Values from VASP.

Quantum ESPRESSO input file:
```
&SYSTEM
  ibrav = 0, nat = 28, ntyp = 3
/
ATOMIC_SPECIES
Na 22.99 Na.upf
Ga 69.72 Ga.upf
Pt 195.08 Pt.upf
CELL_PARAMETERS angstrom
-2.287 -0.396 3.439
4.509 -7.865 2.092
8.890 6.880 6.705
ATOMIC_POSITIONS crystal
Na 0.000 0.250 0.697
Na 0.500 0.750 0.197
Na 0.500 0.750 0.803
Na 0.000 0.261 0.000
Na 0.500 0.739 0.500
Na 0.000 0.250 0.303
Ga 0.000 0.972 0.844
Ga 0.500 0.028 0.656
Ga 0.500 0.407 0.813
Ga 0.500 0.600 0.000
Ga 0.000 0.400 0.500
Ga 0.000 0.593 0.687
Ga 0.000 0.593 0.313
Ga 0.500 0.974 0.000
Ga 0.000 0.972 0.156
Ga 0.500 0.407 0.187
Ga 0.000 0.026 0.500
Ga 0.500 0.028 0.344
Pt 0.000 0.540 0.884
Pt 0.000 0.869 0.661
Pt 0.000 0.804 0.000
Pt 0.500 0.460 0.616
Pt 0.500 0.196 0.500
Pt 0.000 0.540 0.116
Pt 0.500 0.460 0.384
Pt 0.000 0.869 0.339
Pt 0.500 0.131 0.839
Pt 0.500 0.131 0.161
```

Calculated values
The energy relative to the elements is -7.77 eV/f.u. The space group is Pmmn, No. 59. As for the spin magnetization: 0.00 μB/cell. The density of states at the Fermi level comes out at 6.912 states/eV/cell. As for the final energy: -0.158 Ha/atom.

=====

No. 2
The following is a DFT calculation (PBE) of an optimized crystal structure of Na2Ga4Pt3. Values from VASP.

Quantum ESPRESSO input file:
```
&SYSTEM
  ibrav = 0, nat = 18, ntyp = 3
/
ATOMIC_SPECIES
Na 22.99 Na.upf
Ga 69.72 Ga.upf
Pt 195.08 Pt.upf
CELL_PARAMETERS angstrom
5.228 0.000 -2.048
0.000 7.751 0.000
0.103 0.000 7.959
ATOMIC_POSITIONS crystal
Na 0.108 0.600 0.216
Na 0.892 0.400 0.784
Na 0.392 0.100 0.784
Na 0.608 0.900 0.216
Ga 0.693 0.750 0.885
Ga 0.807 0.250 0.115
Ga 0.307 0.250 0.115
Ga 0.193 0.750 0.885
Ga 0.183 0.978 0.366
Ga 0.817 0.022 0.634
Ga 0.317 0.478 0.634
Ga 0.683 0.522 0.366
Pt 0.000 0.000 0.000
Pt 0.500 0.500 0.000
Pt 0.522 0.750 0.543
Pt 0.978 0.250 0.457
Pt 0.478 0.250 0.457
Pt 0.022 0.750 0.543
```

Calculated values
The energy relative to the elements is -5.02 eV/f.u. The space group is Cmce, No. 64. As for the spin magnetization: 0.00 μB/cell. The density of states at the Fermi level comes out at 4.394 states/eV/cell. As for the final energy: -0.155 Ha/atom. The relative energy among the computed polymorphs is 0.000 eV per atom.

=====

No. 3
The following is a DFT calculation (PBE) of an optimized crystal structure of NaGa2Pt. Values from VASP.

Quantum ESPRESSO input file:
```
&SYSTEM
  ibrav = 0, nat = 4, ntyp = 3
/
ATOMIC_SPECIES
Na 22.99 Na.upf
Ga 69.72 Ga.upf
Pt 195.08 Pt.upf
CELL_PARAMETERS angstrom
-1.704 0.013 2.700
-1.873 -2.305 -1.171
4.571 -5.194 2.911
ATOMIC_POSITIONS crystal
Na 0.500 0.500 0.500
Ga 0.000 0.000 0.801
Ga 0.000 0.000 0.199
Pt 0.500 0.500 0.000
```

Calculated values
The energy relative to the elements is -1.28 eV/f.u. The space group is P4/mmm, No. 123. As for the spin magnetization: 0.00 μB/cell. The density of states at the Fermi level comes out at 1.987 states/eV/cell. As for the final energy: -0.135 Ha/atom.

=====

No. 4
The following is a DFT calculation (PBE) of an optimized crystal structure of NaGa3Pt5. Values from VASP.

Quantum ESPRESSO input file:
```
&SYSTEM
  ibrav = 0, nat = 18, ntyp = 3
/
ATOMIC_SPECIES
Na 22.99 Na.upf
Ga 69.72 Ga.upf
Pt 195.08 Pt.upf
CELL_PARAMETERS angstrom
-1.407 -1.217 3.680
2.600 -5.564 -3.155
11.038 2.329 4.990
ATOMIC_POSITIONS crystal
Na 0.791 0.582 0.750
Na 0.209 0.418 0.250
Ga 0.384 0.769 0.936
Ga 0.903 0.805 0.250
Ga 0.384 0.769 0.564
Ga 0.616 0.231 0.436
Ga 0.097 0.195 0.750
Ga 0.616 0.231 0.064
Pt 0.800 0.601 0.437
Pt 0.200 0.399 0.937
Pt 0.000 0.000 0.500
Pt 0.000 0.000 0.000
Pt 0.437 0.874 0.137
Pt 0.563 0.126 0.863
Pt 0.563 0.126 0.637
Pt 0.800 0.601 0.063
Pt 0.200 0.399 0.563
Pt 0.437 0.874 0.363
```

Calculated values
The energy relative to the elements is -4.43 eV/f.u. The space group is Cmcm, No. 63. As for the spin magnetization: 0.00 μB/cell. The density of states at the Fermi level comes out at 6.877 states/eV/cell. As for the final energy: -0.184 Ha/atom.

=====

No. 5
The following is a DFT calculation (PBE) of an optimized crystal structure of NaGaPt3. Values from VASP.

Quantum ESPRESSO input file:
```
&SYSTEM
  ibrav = 0, nat = 10, ntyp = 3
/
ATOMIC_SPECIES
Na 22.99 Na.upf
Ga 69.72 Ga.upf
Pt 195.08 Pt.upf
CELL_PARAMETERS angstrom
7.362 0.000 0.000
0.000 5.626 0.000
0.000 -2.814 4.872
ATOMIC_POSITIONS crystal
Na 0.750 0.667 0.333
Na 0.250 0.333 0.667
Ga 0.000 0.000 0.000
Ga 0.500 0.000 0.000
Pt 0.750 0.650 0.825
Pt 0.250 0.825 0.650
Pt 0.250 0.350 0.175
Pt 0.750 0.175 0.350
Pt 0.250 0.825 0.175
Pt 0.750 0.175 0.825
```

Calculated values
The energy relative to the elements is -1.21 eV/f.u. The space group is P6_3/mmc, No. 194. As for the spin magnetization: 0.00 μB/cell. The density of states at the Fermi level comes out at 4.894 states/eV/cell. As for the final energy: -0.174 Ha/atom. The relative energy among the computed polymorphs is 0.000 eV per atom.

=====

No. 6
The following is a DFT calculation (PBE) of an optimized crystal structure of NaGa3Pt3. Values from VASP.

Quantum ESPRESSO input file:
```
&SYSTEM
  ibrav = 0, nat = 14, ntyp = 3
/
ATOMIC_SPECIES
Na 22.99 Na.upf
Ga 69.72 Ga.upf
Pt 195.08 Pt.upf
CELL_PARAMETERS angstrom
6.924 0.000 0.000
0.000 6.924 0.000
0.000 0.000 6.924
ATOMIC_POSITIONS crystal
Na 0.500 0.500 0.500
Na 0.000 0.000 0.000
Ga 0.250 0.000 0.500
Ga 0.000 0.500 0.250
Ga 0.500 0.750 0.000
Ga 0.750 0.000 0.500
Ga 0.000 0.500 0.750
Ga 0.500 0.250 0.000
Pt 0.000 0.250 0.500
Pt 0.000 0.750 0.500
Pt 0.500 0.000 0.750
Pt 0.750 0.500 0.000
Pt 0.500 0.000 0.250
Pt 0.250 0.500 0.000
```

Calculated values
The energy relative to the elements is -2.28 eV/f.u. The space group is Pm-3n, No. 223. As for the spin magnetization: 0.00 μB/cell. The density of states at the Fermi level comes out at 4.973 states/eV/cell. As for the final energy: -0.162 Ha/atom. The relative energy among the computed polymorphs is 0.169 eV per atom.